The following is a DFT calculation (PBE) of a relaxed NaSmErAl crystal.

Lattice parameters (Å, degrees): 7.515 7.515 7.515 90.00 90.00 90.00
Space group F-43m (No. 216)
Inequivalent atoms, fractional coordinates:
Na 0.000 0.000 0.000 x4
Sm 0.250 0.250 0.250 x4
Er 0.250 0.250 0.750 x4
Al 0.000 0.000 0.500 x4

Computed properties:
Formation energy from the elements: -0.036 eV/atom
N(E_F): 17.0 states/eV per cell


The following is a DFT calculation (PBE) of a relaxed BaZn3In3 crystal.

Lattice parameters (Å, degrees): 7.549 7.549 7.549 90.00 90.00 90.00
Space group Pm-3n (No. 223)
Inequivalent atoms, fractional coordinates:
Ba 0.000 0.000 0.000 x2
Zn 0.000 0.250 0.500 x6
In 0.000 0.500 0.250 x6

Computed properties:
Formation energy from the elements: 0.017 eV/atom
N(E_F): 8.0 states/eV per cell


The following is a DFT calculation (PBE) of a relaxed AlAgCl2 crystal.

Lattice parameters (Å, degrees): 3.392 6.411 8.615 90.00 90.00 90.00
Space group Cmm2 (No. 35)
Inequivalent atoms, fractional coordinates:
Al 0.000 0.000 0.000 x2
Ag 0.000 0.500 0.778 x2
Cl 0.000 0.000 0.564 x2
Cl 0.000 0.500 0.196 x2

Computed properties:
Uncorrected energy: -2.97 eV/atom
N(E_F): 1.9 states/eV per cell


The following is a DFT calculation (PBE) of a relaxed AcZnRh crystal.

Lattice parameters (Å, degrees): 4.091 15.780 4.689 90.00 90.00 90.00
Space group Cmcm (No. 63)
Inequivalent atoms, fractional coordinates:
Ac 0.000 0.161 0.250 x4
Zn 0.000 0.500 0.000 x4
Rh 0.000 0.355 0.250 x4

Computed properties:
Formation energy from the elements: -0.390 eV/atom
N(E_F): 5.8 states/eV per cell


The following is a DFT calculation (PBE) of a relaxed Ac2CoAs4Pd3 crystal.

Lattice parameters (Å, degrees): 4.476 4.476 10.125 90.00 90.00 90.00
Space group P-4m2 (No. 115)
Inequivalent atoms, fractional coordinates:
Ac 0.000 0.500 0.247 x2
Co 0.500 0.500 0.000 x1
As 0.000 0.000 0.500 x1
As 0.000 0.500 0.876 x2
As 0.500 0.500 0.500 x1
Pd 0.000 0.000 0.000 x1
Pd 0.000 0.500 0.622 x2

Computed properties:
Formation energy from the elements: -0.827 eV/atom
N(E_F): 4.9 states/eV per cell


The following is a DFT calculation (PBE) of a relaxed Np2PaP4Pd crystal.

Lattice parameters (Å, degrees): 3.901 12.786 13.358 90.00 90.00 90.00
Space group Cmcm (No. 63)
Inequivalent atoms, fractional coordinates:
Np 0.000 0.134 0.061 x8
Pa 0.000 0.383 0.250 x4
P 0.000 0.036 0.250 x4
P 0.000 0.221 0.625 x8
P 0.000 0.500 0.000 x4
Pd 0.000 0.355 0.750 x4

Computed properties:
Formation energy from the elements: -0.825 eV/atom
N(E_F): 71.4 states/eV per cell


The following is a DFT calculation (PBE) of a relaxed LiCeGdOs crystal.

Lattice parameters (Å, degrees): 7.010 7.010 7.010 90.00 90.00 90.00
Space group F-43m (No. 216)
Inequivalent atoms, fractional coordinates:
Li 0.000 0.000 0.000 x4
Ce 0.250 0.250 0.750 x4
Gd 0.250 0.250 0.250 x4
Os 0.000 0.000 0.500 x4

Computed properties:
Formation energy from the elements: -0.113 eV/atom
N(E_F): 25.6 states/eV per cell


The following is a DFT calculation (PBE) of a relaxed Ho6BiRu2 crystal.

Lattice parameters (Å, degrees): 9.429 9.687 10.370 90.00 90.00 90.00
Space group Immm (No. 71)
Inequivalent atoms, fractional coordinates:
Ho 0.000 0.214 0.239 x8
Ho 0.186 0.500 0.169 x8
Ho 0.214 0.319 0.500 x8
Bi 0.000 0.000 0.000 x2
Bi 0.000 0.000 0.500 x2
Ru 0.000 0.332 0.000 x4
Ru 0.000 0.500 0.373 x4

Computed properties:
Formation energy from the elements: -0.438 eV/atom
N(E_F): 30.2 states/eV per cell


The following is a DFT calculation (PBE) of a relaxed LaFe2Br crystal.

Lattice parameters (Å, degrees): 3.9828 3.9828 21.6442 90.00 90.00 120.00
Space group R3m (No. 160, hexagonal axes)
Inequivalent atoms, fractional coordinates:
La 0.0000 0.0000 0.0000 x3
Fe 0.0000 0.0000 0.4350 x3
Fe 0.0000 0.0000 0.7512 x3
Br 0.0000 0.0000 0.2362 x3

Computed properties:
Uncorrected energy: -5.94 eV/atom
N(E_F): 7.4 states/eV per cell


The following is a DFT calculation (PBE) of a relaxed Zr2ScPd9 crystal.

Lattice parameters (Å, degrees): 4.025 4.025 12.074 90.00 90.00 90.00
Space group P4/mmm (No. 123)
Inequivalent atoms, fractional coordinates:
Zr 0.000 0.000 0.170 x2
Sc 0.000 0.000 0.500 x1
Pd 0.000 0.500 0.000 x2
Pd 0.000 0.500 0.333 x4
Pd 0.500 0.500 0.166 x2
Pd 0.500 0.500 0.500 x1

Computed properties:
Formation energy from the elements: -0.846 eV/atom
N(E_F): 2.4 states/eV per cell


The following is a DFT calculation (PBE) of a relaxed MgZn2Hg crystal.

Lattice parameters (Å, degrees): 6.676 6.676 6.676 90.00 90.00 90.00
Space group F-43m (No. 216)
Inequivalent atoms, fractional coordinates:
Mg 0.000 0.000 0.000 x4
Zn 0.000 0.000 0.500 x4
Zn 0.250 0.250 0.750 x4
Hg 0.250 0.250 0.250 x4

Computed properties:
Formation energy from the elements: 0.009 eV/atom
N(E_F): 8.7 states/eV per cell


The following is a DFT calculation (PBE) of a relaxed Mg2SnAu crystal.

Lattice parameters (Å, degrees): 7.840 7.840 6.067 90.00 90.00 90.00
Space group I-42d (No. 122)
Inequivalent atoms, fractional coordinates:
Mg 0.215 0.250 0.125 x8
Sn 0.000 0.000 0.500 x4
Au 0.000 0.000 0.000 x4

Computed properties:
Formation energy from the elements: -0.149 eV/atom
N(E_F): 6.2 states/eV per cell


The following is a DFT calculation (PBE) of a relaxed CaRuS2Cl crystal.

Lattice parameters (Å, degrees): 5.248 5.248 5.058 90.00 90.00 90.00
Space group P4/mmm (No. 123)
Inequivalent atoms, fractional coordinates:
Ca 0.000 0.000 0.000 x1
Ru 0.500 0.500 0.500 x1
S 0.000 0.500 0.000 x2
Cl 0.000 0.000 0.500 x1

Computed properties:
Uncorrected energy: -3.84 eV/atom
N(E_F): 5.8 states/eV per cell


The following is a DFT calculation (PBE) of a relaxed TmMg3S4 crystal.

Lattice parameters (Å, degrees): 7.584 10.660 3.697 90.00 90.00 90.00
Space group Cmmm (No. 65)
Inequivalent atoms, fractional coordinates:
Tm 0.000 0.000 0.000 x2
Mg 0.000 0.500 0.000 x2
Mg 0.250 0.250 0.500 x4
S 0.000 0.254 0.000 x4
S 0.238 0.500 0.500 x4

Computed properties:
Uncorrected energy: -4.69 eV/atom
N(E_F): 4.0 states/eV per cell


The following is a DFT calculation (PBE) of a relaxed Ga2FeOs crystal.

Lattice parameters (Å, degrees): 5.979 5.979 5.979 90.00 90.00 90.00
Space group Fm-3m (No. 225)
Inequivalent atoms, fractional coordinates:
Ga 0.250 0.250 0.250 x8
Fe 0.000 0.000 0.000 x4
Os 0.000 0.000 0.500 x4

Computed properties:
Formation energy from the elements: 0.018 eV/atom
N(E_F): 17.1 states/eV per cell


The following is a DFT calculation (PBE) of a relaxed PuTi2B crystal.

Lattice parameters (Å, degrees): 3.1477 3.1477 25.2773 90.00 90.00 120.00
Space group R-3m (No. 166, hexagonal axes)
Inequivalent atoms, fractional coordinates:
Pu 0.0000 0.0000 0.0000 x3
Ti 0.0000 0.0000 0.1189 x6
B 0.0000 0.0000 0.5000 x3

Computed properties:
Formation energy from the elements: 0.074 eV/atom
N(E_F): 30.1 states/eV per cell


The following is a DFT calculation (PBE) of a relaxed Ba2InI2 crystal.

Lattice parameters (Å, degrees): 9.715 9.715 4.597 90.00 90.00 90.00
Space group P4/mbm (No. 127)
Inequivalent atoms, fractional coordinates:
Ba 0.172 0.328 0.000 x4
In 0.000 0.000 0.000 x2
I 0.134 0.634 0.500 x4

Computed properties:
Uncorrected energy: -2.85 eV/atom
N(E_F): 8.6 states/eV per cell


The following is a DFT calculation (PBE) of a relaxed Ba2VAu crystal.

Lattice parameters (Å, degrees): 8.160 8.160 8.160 90.00 90.00 90.00
Space group Fm-3m (No. 225)
Inequivalent atoms, fractional coordinates:
Ba 0.250 0.250 0.250 x8
V 0.000 0.000 0.000 x4
Au 0.000 0.000 0.500 x4

Computed properties:
Formation energy from the elements: 0.247 eV/atom
N(E_F): 12.6 states/eV per cell


The following is a DFT calculation (PBE) of a relaxed Tl2ZnTcHg crystal.

Lattice parameters (Å, degrees): 5.262 5.262 5.020 90.00 90.00 90.00
Space group P4/mmm (No. 123)
Inequivalent atoms, fractional coordinates:
Tl 0.000 0.500 0.000 x2
Zn 0.000 0.000 0.000 x1
Tc 0.500 0.500 0.500 x1
Hg 0.000 0.000 0.500 x1

Computed properties:
Formation energy from the elements: 1.059 eV/atom
N(E_F): 3.2 states/eV per cell


The following is a DFT calculation (PBE) of a relaxed NdEr2Tl4 crystal.

Lattice parameters (Å, degrees): 7.666 7.666 7.261 90.00 90.00 90.00
Space group I4/mmm (No. 139)
Inequivalent atoms, fractional coordinates:
Nd 0.000 0.000 0.000 x2
Er 0.000 0.500 0.000 x4
Tl 0.250 0.250 0.250 x8

Computed properties:
Formation energy from the elements: -0.209 eV/atom
N(E_F): 14.0 states/eV per cell